Entry 1:
An optimized crystal structure of Er5AsS4. Source: Alexandria via LeMat-Bulk, functional GGA-PBE.

The energy comes out at -6.276 eV per atom. The space group is Immm, No. 71. The uncorrected formation energy comes out at -1878 meV per atom.

The structure in extended XYZ format:
```
10
Lattice="-0.1793 -3.9087 0.3158 5.2209 -0.3804 -1.7439 0.6036 2.7464 9.9366" Properties=species:S:1:pos:R:3 pbc="T T T"
S 3.1523 -2.0229 1.1499
S 2.4930 0.4802 7.3586
Er 1.7857 -1.5931 5.6933
Er 2.6105 -0.1902 -0.8720
As 0.0000 0.0000 0.0000
Er 0.5514 -1.8309 2.0502
S 1.2610 0.2429 3.7221
S 4.3842 -1.7856 4.7864
Er 5.0938 0.2882 6.4584
Er 3.8596 0.0505 2.8152
```



Entry 2:
An optimized crystal structure of CsBe2Br2. Source: Alexandria via LeMat-Bulk, functional GGA-PBE.

The energy comes out at -2.005 eV per atom. The space group is P4/mbm, No. 127. The uncorrected formation energy comes out at 326 meV per atom.

The structure in extended XYZ format:
```
10
Lattice="9.2222 0.0000 0.0000 0.0000 9.2222 0.0000 0.0000 0.0000 4.2456" Properties=species:S:1:pos:R:3 pbc="T T T"
Br 3.1395 7.7506 0.0000
Be 5.3323 8.5010 2.1228
Br 1.4715 3.1395 0.0000
Cs 0.0000 0.0000 0.0000
Br 6.0826 1.4715 0.0000
Cs 4.6111 4.6111 0.0000
Be 8.5010 3.8899 2.1228
Be 3.8899 0.7212 2.1228
Be 0.7212 5.3323 2.1228
Br 7.7506 6.0826 0.0000
```



Please write out number 2 again, unchanged.
An optimized crystal structure of CsBe2Br2. Source: Alexandria via LeMat-Bulk, functional GGA-PBE.

The energy comes out at -2.005 eV per atom. The space group is P4/mbm, No. 127. The uncorrected formation energy comes out at 326 meV per atom.

The structure in extended XYZ format:
```
10
Lattice="9.2222 0.0000 0.0000 0.0000 9.2222 0.0000 0.0000 0.0000 4.2456" Properties=species:S:1:pos:R:3 pbc="T T T"
Br 3.1395 7.7506 0.0000
Be 5.3323 8.5010 2.1228
Br 1.4715 3.1395 0.0000
Cs 0.0000 0.0000 0.0000
Br 6.0826 1.4715 0.0000
Cs 4.6111 4.6111 0.0000
Be 8.5010 3.8899 2.1228
Be 3.8899 0.7212 2.1228
Be 0.7212 5.3323 2.1228
Br 7.7506 6.0826 0.0000
```